1.
A relaxed Mn2NiPd crystal, computed with PBE-GGA.

Properties
* energy: -7.415 eV per atom
* energy relative to the lowest polymorph listed for this composition: 0.0 meV per atom
* symmetry: P4/mmm, No. 123
* formation energy from the elements: -87 meV per atom

Cell: 2.984 2.984 6.240 Å, 90.00 90.00 90.00°
Element x y z (fractional)
Mn 0.000 0.000 0.231
Mn 0.000 0.000 0.769
Ni 0.500 0.500 0.000
Pd 0.500 0.500 0.500

2.
A relaxed MnNi2Pd6 crystal, computed with PBE-GGA.

Properties
* energy: -5.769 eV per atom
* energy relative to the lowest polymorph listed for this composition: 52.9 meV per atom
* symmetry: C2/m, No. 12
* formation energy from the elements: -3 meV per atom

Cell: 7.221 7.221 4.605 Å, 98.89 98.89 141.59°
Element x y z (fractional)
Mn 0.000 0.000 0.000
Ni 0.165 0.835 0.500
Ni 0.835 0.165 0.500
Pd 0.163 0.496 0.170
Pd 0.319 0.319 0.661
Pd 0.496 0.163 0.170
Pd 0.504 0.837 0.830
Pd 0.681 0.681 0.339
Pd 0.837 0.504 0.830

3.
A relaxed Mn6NiPd5 crystal, computed with PBE-GGA.

Properties
* energy: -7.372 eV per atom
* symmetry: C2/m, No. 12
* formation energy from the elements: -142 meV per atom

Cell: 7.495 7.495 4.331 Å, 105.37 105.37 49.99°
Element x y z (fractional)
Mn 0.081 0.593 0.337
Mn 0.238 0.762 0.000
Mn 0.407 0.919 0.663
Mn 0.593 0.081 0.337
Mn 0.762 0.238 0.000
Mn 0.919 0.407 0.663
Ni 0.000 0.000 0.500
Pd 0.169 0.169 0.170
Pd 0.335 0.335 0.836
Pd 0.500 0.500 0.500
Pd 0.665 0.665 0.164
Pd 0.831 0.831 0.830

4.
A relaxed MnNi7Pd12 crystal, computed with PBE-GGA.

Properties
* energy: -5.551 eV per atom
* symmetry: R-3, No. 148
* formation energy from the elements: 47 meV per atom

Cell: 6.781 6.781 6.781 Å, 103.46 103.46 103.46°
Element x y z (fractional)
Mn 0.000 0.000 0.000
Ni 0.085 0.090 0.684
Ni 0.090 0.684 0.085
Ni 0.316 0.915 0.910
Ni 0.500 0.500 0.500
Ni 0.684 0.085 0.090
Ni 0.910 0.316 0.915
Ni 0.915 0.910 0.316
Pd 0.078 0.328 0.333
Pd 0.235 0.763 0.496
Pd 0.237 0.504 0.765
Pd 0.328 0.333 0.078
Pd 0.333 0.078 0.328
Pd 0.496 0.235 0.763
Pd 0.504 0.765 0.237
Pd 0.667 0.922 0.672
Pd 0.672 0.667 0.922
Pd 0.763 0.496 0.235
Pd 0.765 0.237 0.504
Pd 0.922 0.672 0.667

5.
A relaxed MnNi2Pd6 crystal, computed with PBE-GGA.

Properties
* energy: -5.822 eV per atom
* energy relative to the lowest polymorph listed for this composition: 0.0 meV per atom
* symmetry: C2/m, No. 12
* formation energy from the elements: -56 meV per atom

Cell: 4.697 4.697 8.134 Å, 105.32 105.32 49.07°
Element x y z (fractional)
Mn 0.000 0.000 0.000
Ni 0.332 0.332 0.777
Ni 0.668 0.668 0.223
Pd 0.001 0.001 0.323
Pd 0.333 0.333 0.444
Pd 0.335 0.335 0.106
Pd 0.665 0.665 0.894
Pd 0.667 0.667 0.556
Pd 0.999 0.999 0.677

6.
A relaxed Mn2NiPd6 crystal, computed with PBE-GGA.

Properties
* energy: -6.306 eV per atom
* symmetry: Fmmm, No. 69
* formation energy from the elements: -164 meV per atom

Cell: 8.214 6.247 6.015 Å, 84.10 49.16 46.75°
Element x y z (fractional)
Mn 0.158 0.158 0.842
Mn 0.842 0.842 0.158
Ni 0.500 0.500 0.500
Pd 0.162 0.838 0.162
Pd 0.174 0.491 0.509
Pd 0.491 0.174 0.826
Pd 0.509 0.826 0.174
Pd 0.826 0.509 0.491
Pd 0.838 0.162 0.838

7.
A relaxed MnNiPd6 crystal, computed with PBE-GGA.

Properties
* energy: -5.860 eV per atom
* symmetry: P4/mmm, No. 123
* formation energy from the elements: -96 meV per atom

Cell: 3.895 3.895 7.813 Å, 90.00 90.00 90.00°
Element x y z (fractional)
Mn 0.000 0.000 0.000
Ni 0.000 0.000 0.500
Pd 0.000 0.500 0.253
Pd 0.000 0.500 0.747
Pd 0.500 0.000 0.253
Pd 0.500 0.000 0.747
Pd 0.500 0.500 0.000
Pd 0.500 0.500 0.500

8.
A relaxed MnNiPd3 crystal, computed with PBE-GGA.

Properties
* energy: -6.232 eV per atom
* energy relative to the lowest polymorph listed for this composition: 0.0 meV per atom
* symmetry: Cmcm, No. 63
* formation energy from the elements: -126 meV per atom

Cell: 9.608 9.608 3.907 Å, 90.00 90.00 156.53°
Element x y z (fractional)
Mn 0.151 0.849 0.750
Mn 0.849 0.151 0.250
Ni 0.348 0.652 0.750
Ni 0.652 0.348 0.250
Pd 0.056 0.944 0.250
Pd 0.250 0.750 0.250
Pd 0.446 0.554 0.250
Pd 0.554 0.446 0.750
Pd 0.750 0.250 0.750
Pd 0.944 0.056 0.750